Record 1
The following is a DFT calculation (PBE) of a relaxed YSiSe crystal.

a = 6.8078 Å, b = 6.8078 Å, c = 6.8078 Å
α = 90.00°, β = 90.00°, γ = 90.00°
Last column: nearest neighbours and their distance in Å.
Fractional positions:
Y 0.0000 0.0000 0.0000  4 Se 2.95, 4 Si 2.95
Y 0.0000 0.5000 0.5000  4 Se 2.95, 4 Si 2.95
Y 0.5000 0.0000 0.5000  4 Se 2.95, 4 Si 2.95
Y 0.5000 0.5000 0.0000  4 Se 2.95, 4 Si 2.95
Si 0.2500 0.2500 0.7500  4 Y 2.95
Si 0.2500 0.7500 0.2500  4 Y 2.95
Si 0.7500 0.2500 0.2500  4 Y 2.95
Si 0.7500 0.7500 0.7500  4 Y 2.95
Se 0.2500 0.2500 0.2500  4 Y 2.95
Se 0.2500 0.7500 0.7500  4 Y 2.95
Se 0.7500 0.2500 0.7500  4 Y 2.95
Se 0.7500 0.7500 0.2500  4 Y 2.95

Computed properties:
- formation energy from raw total energies (eV per atom) = -0.28
- space-group type = F-43m, No. 216
- uncorrected energy (eV per atom) = -5.41
- DOS at the Fermi energy (states/eV per atom) = 1.104

=====

Record 2
The following is a DFT calculation (PBE) of a relaxed Y6SiSe5 crystal.

a = 7.0990 Å, b = 7.0990 Å, c = 7.1235 Å
α = 99.53°, β = 99.53°, γ = 119.96°
Last column: nearest neighbours and their distance in Å.
Fractional positions:
Y 0.0796 0.3990 0.7400  1 Si 2.78, 5 Se 2.90-2.99
Y 0.2386 0.2386 0.2598  1 Si 2.78, 5 Se 2.91-3.02
Y 0.3990 0.0796 0.7400  1 Si 2.78, 5 Se 2.90-2.99
Y 0.6010 0.9204 0.2600  1 Si 2.78, 5 Se 2.90-2.99
Y 0.7614 0.7614 0.7402  1 Si 2.78, 5 Se 2.91-3.02
Y 0.9204 0.6010 0.2600  1 Si 2.78, 5 Se 2.90-2.99
Si 0.0000 0.0000 0.5000  6 Y 2.78
Se 0.1702 0.8298 0.0000  6 Y 2.90-2.99
Se 0.3338 0.6662 0.5000  6 Y 2.91
Se 0.5000 0.5000 0.0000  6 Y 2.91-3.02
Se 0.6662 0.3338 0.5000  6 Y 2.91
Se 0.8298 0.1702 0.0000  6 Y 2.90-2.99

Computed properties:
- formation energy from raw total energies (eV per atom) = -1.68
- space-group type = C2/m, No. 12
- uncorrected energy (eV per atom) = -6.81
- DOS at the Fermi energy (states/eV per atom) = 0.440

=====

Record 3
The following is a DFT calculation (PBE) of a relaxed YSiSe3 crystal.

a = 4.8628 Å, b = 4.8628 Å, c = 4.8628 Å
α = 90.00°, β = 90.00°, γ = 90.00°
Last column: nearest neighbours and their distance in Å.
Fractional positions:
Y 0.0000 0.0000 0.0000  12 Se 3.44
Si 0.5000 0.5000 0.5000  6 Se 2.43
Se 0.0000 0.5000 0.5000  2 Si 2.43
Se 0.5000 0.0000 0.5000  2 Si 2.43
Se 0.5000 0.5000 0.0000  2 Si 2.43

Computed properties:
- formation energy from raw total energies (eV per atom) = -0.57
- space-group type = Pm-3m, No. 221
- uncorrected energy (eV per atom) = -5.04
- DOS at the Fermi energy (states/eV per atom) = 0.224
- distance to the lowest polymorph of the same formula (meV per atom) = 545.8

=====

Record 4
The following is a DFT calculation (PBE) of a relaxed Y4SiSe3 crystal.

a = 5.7937 Å, b = 5.7937 Å, c = 5.7937 Å
α = 90.00°, β = 90.00°, γ = 90.00°
Last column: nearest neighbours and their distance in Å.
Fractional positions:
Y 0.0000 0.0000 0.0000  6 Se 2.90
Y 0.0000 0.5000 0.5000  2 Si 2.90, 4 Se 2.90
Y 0.5000 0.0000 0.5000  2 Si 2.90, 4 Se 2.90
Y 0.5000 0.5000 0.0000  2 Si 2.90, 4 Se 2.90
Si 0.5000 0.5000 0.5000  6 Y 2.90
Se 0.0000 0.0000 0.5000  6 Y 2.90
Se 0.0000 0.5000 0.0000  6 Y 2.90
Se 0.5000 0.0000 0.0000  6 Y 2.90

Computed properties:
- formation energy from raw total energies (eV per atom) = -1.60
- space-group type = Pm-3m, No. 221
- uncorrected energy (eV per atom) = -6.82
- DOS at the Fermi energy (states/eV per atom) = 0.424

=====

Record 5
The following is a DFT calculation (PBE) of a relaxed Y4SiSe3 crystal.

a = 8.2488 Å, b = 11.6332 Å, c = 4.0957 Å
α = 90.00°, β = 90.00°, γ = 90.00°
Last column: nearest neighbours and their distance in Å.
Fractional positions:
Y 0.0000 0.2410 0.0000  1 Si 2.80, 5 Se 2.91-3.01
Y 0.0000 0.7590 0.0000  1 Si 2.80, 5 Se 2.91-3.01
Y 0.2363 0.0000 0.5000  2 Si 2.83, 4 Se 2.91-2.99
Y 0.2637 0.5000 0.5000  2 Si 2.83, 4 Se 2.91-2.99
Y 0.5000 0.2590 0.0000  1 Si 2.80, 5 Se 2.91-3.01
Y 0.5000 0.7410 0.0000  1 Si 2.80, 5 Se 2.91-3.01
Y 0.7363 0.5000 0.5000  2 Si 2.83, 4 Se 2.91-2.99
Y 0.7637 0.0000 0.5000  2 Si 2.83, 4 Se 2.91-2.99
Si 0.0000 0.0000 0.0000  6 Y 2.80-2.83
Si 0.5000 0.5000 0.0000  6 Y 2.80-2.83
Se 0.0000 0.5000 0.0000  6 Y 2.99-3.01
Se 0.2500 0.2500 0.5000  6 Y 2.91
Se 0.2500 0.7500 0.5000  6 Y 2.91
Se 0.5000 0.0000 0.0000  6 Y 2.99-3.01
Se 0.7500 0.2500 0.5000  6 Y 2.91
Se 0.7500 0.7500 0.5000  6 Y 2.91

Computed properties:
- formation energy from raw total energies (eV per atom) = -1.61
- space-group type = Cmmm, No. 65
- uncorrected energy (eV per atom) = -6.82
- DOS at the Fermi energy (states/eV per atom) = 0.415

=====

Record 6
The following is a DFT calculation (PBE) of a relaxed YSiSe3 crystal.

a = 6.8022 Å, b = 7.5257 Å, c = 11.5484 Å
α = 90.00°, β = 123.12°, γ = 90.00°
Last column: nearest neighbours and their distance in Å.
Fractional positions:
Y 0.2057 0.1252 0.2505  6 Se 2.91-3.10
Y 0.2057 0.3748 0.7505  6 Se 2.91-3.10
Y 0.7943 0.6252 0.2495  6 Se 2.91-3.10
Y 0.7943 0.8748 0.7495  6 Se 2.91-3.10
Si 0.1434 0.6020 0.0645  3 Se 2.28-2.30, 1 Si 2.28
Si 0.1434 0.8980 0.5645  3 Se 2.28-2.30, 1 Si 2.28
Si 0.8566 0.1020 0.4355  3 Se 2.28-2.30, 1 Si 2.28
Si 0.8566 0.3980 0.9355  3 Se 2.28-2.30, 1 Si 2.28
Se 0.0810 0.1741 0.9290  1 Si 2.30
Se 0.0810 0.3259 0.4290  1 Si 2.30
Se 0.2790 0.6925 0.9318  1 Si 2.28
Se 0.2790 0.8075 0.4318  1 Si 2.28
Se 0.4200 0.0267 0.7688  1 Si 2.28
Se 0.4200 0.4733 0.2688  1 Si 2.28
Se 0.5800 0.5267 0.7312  1 Si 2.28
Se 0.5800 0.9733 0.2312  1 Si 2.28
Se 0.7210 0.1925 0.5682  1 Si 2.28
Se 0.7210 0.3075 0.0682  1 Si 2.28
Se 0.9190 0.6741 0.5710  1 Si 2.30
Se 0.9190 0.8259 0.0710  1 Si 2.30

Computed properties:
- formation energy from raw total energies (eV per atom) = -1.12
- space-group type = P2_1/c, No. 14
- uncorrected energy (eV per atom) = -5.59
- DOS at the Fermi energy (states/eV per atom) = 0.000
- distance to the lowest polymorph of the same formula (meV per atom) = 0.0

=====

Record 7
The following is a DFT calculation (PBE) of a relaxed Y7SiSe5 crystal.

a = 6.9528 Å, b = 6.9528 Å, c = 24.0308 Å
α = 90.00°, β = 90.00°, γ = 146.12°
Last column: nearest neighbours and their distance in Å.
Fractional positions:
Y 0.0387 0.9613 0.5000  2 Se 2.81, 2 Si 2.88
Y 0.1382 0.8618 0.2119  6 Se 2.80-2.89
Y 0.1386 0.8614 0.7882  6 Se 2.80-2.89
Y 0.3052 0.6948 0.4317  3 Se 2.85-2.92, 2 Si 3.01
Y 0.3055 0.6945 0.5684  3 Se 2.85-2.92, 2 Si 3.01
Y 0.4045 0.5955 0.1290  5 Se 2.87-3.17
Y 0.4049 0.5951 0.8710  5 Se 2.87-3.17
Y 0.5951 0.4049 0.3710  5 Se 2.87-3.17
Y 0.5955 0.4045 0.6290  5 Se 2.87-3.17
Y 0.6945 0.3055 0.0684  3 Se 2.85-2.92, 2 Si 3.01
Y 0.6948 0.3052 0.9317  3 Se 2.85-2.92, 2 Si 3.01
Y 0.8614 0.1386 0.2882  6 Se 2.80-2.89
Y 0.8618 0.1382 0.7119  6 Se 2.80-2.89
Y 0.9613 0.0387 0.0000  2 Se 2.81, 2 Si 2.88
Si 0.3079 0.6921 0.0001  6 Y 2.88-3.01
Si 0.6921 0.3079 0.5001  6 Y 2.88-3.01
Se 0.0518 0.9482 0.1056  6 Y 2.80-2.92
Se 0.0521 0.9479 0.8945  6 Y 2.80-2.92
Se 0.2223 0.7777 0.3221  6 Y 2.85-2.89
Se 0.2226 0.7774 0.6779  6 Y 2.85-2.89
Se 0.4998 0.5002 0.2500  6 Y 2.89-3.17
Se 0.5002 0.4998 0.7500  6 Y 2.89-3.17
Se 0.7774 0.2226 0.1779  6 Y 2.85-2.89
Se 0.7777 0.2223 0.8221  6 Y 2.85-2.89
Se 0.9479 0.0521 0.3945  6 Y 2.80-2.92
Se 0.9482 0.0518 0.6056  6 Y 2.80-2.92

Computed properties:
- formation energy from raw total energies (eV per atom) = -1.51
- space-group type = Cmc2_1, No. 36
- uncorrected energy (eV per atom) = -6.74
- DOS at the Fermi energy (states/eV per atom) = 0.593

=====

Record 8
The following is a DFT calculation (PBE) of a relaxed YSiSe crystal.

a = 10.4770 Å, b = 3.8009 Å, c = 3.8013 Å
α = 90.00°, β = 110.89°, γ = 90.00°
Last column: nearest neighbours and their distance in Å.
Fractional positions:
Y 0.0000 0.0000 0.0000  4 Se 2.95, 4 Si 2.99
Y 0.5000 0.5000 0.0000  4 Se 2.95, 4 Si 2.99
Si 0.1338 0.5000 0.6304  1 Se 2.53
Si 0.6338 0.0000 0.6304  1 Se 2.53
Se 0.3756 0.0000 0.3783  1 Si 2.53
Se 0.8756 0.5000 0.3783  1 Si 2.53

Computed properties:
- formation energy from raw total energies (eV per atom) = -0.68
- space-group type = Cm, No. 8
- uncorrected energy (eV per atom) = -5.80
- DOS at the Fermi energy (states/eV per atom) = 0.358

=====

Record 9
The following is a DFT calculation (PBE) of a relaxed YSiSe crystal.

a = 4.5452 Å, b = 4.5452 Å, c = 3.6216 Å
α = 90.00°, β = 90.00°, γ = 120.00°
Last column: nearest neighbours and their distance in Å.
Fractional positions:
Y 0.0000 0.0000 0.0000  6 Se 3.19, 6 Si 3.19
Si 0.6667 0.3333 0.5000  3 Se 2.62
Se 0.3333 0.6667 0.5000  3 Si 2.62

Computed properties:
- formation energy from raw total energies (eV per atom) = -0.48
- space-group type = P-6m2, No. 187
- uncorrected energy (eV per atom) = -5.61
- DOS at the Fermi energy (states/eV per atom) = 0.856

=====

Record 10
The following is a DFT calculation (PBE) of a relaxed Y5SiSe4 crystal.

a = 7.1170 Å, b = 7.1170 Å, c = 7.1170 Å
α = 99.48°, β = 99.48°, γ = 132.11°
Last column: nearest neighbours and their distance in Å.
Fractional positions:
Y 0.0000 0.0000 0.0000  2 Si 2.89, 4 Se 2.92
Y 0.2121 0.5965 0.8086  1 Si 2.79, 5 Se 2.89-2.99
Y 0.4035 0.2121 0.6156  1 Si 2.79, 5 Se 2.89-2.99
Y 0.5965 0.7879 0.3844  1 Si 2.79, 5 Se 2.89-2.99
Y 0.7879 0.4035 0.1914  1 Si 2.79, 5 Se 2.89-2.99
Si 0.5000 0.5000 0.0000  6 Y 2.79-2.89
Se 0.0970 0.3028 0.3998  6 Y 2.89-2.99
Se 0.3028 0.9030 0.2058  6 Y 2.89-2.99
Se 0.6972 0.0970 0.7942  6 Y 2.89-2.99
Se 0.9030 0.6972 0.6002  6 Y 2.89-2.99

Computed properties:
- formation energy from raw total energies (eV per atom) = -1.65
- space-group type = I4/m, No. 87
- uncorrected energy (eV per atom) = -6.82
- DOS at the Fermi energy (states/eV per atom) = 0.482